A plane-wave DFT calculation with GGA-PBE was carried out for an optimized crystal structure of BaSbPt.

## Properties
- SG: Imm2, No. 44
- Density: 7.63 Mg/m³
- Raw formation energy: -31 kJ per mole of atoms
- DOS(E_F): 0.68 states/eV/atom

Cell lengths 5.854, 5.854, 5.854 Å; angles 138.40, 131.12, 66.08 degrees
Fractional positions:
Ba 0.979 0.979 0.000
Pt 0.380 0.380 0.000
Sb 0.641 0.641 0.000